The following is a PBE-GGA calculation of a geometry-optimized Ag2Pt2Br structure, from the Alexandria database.

Output
energy above the most stable polymorph in this dataset: 0.678 eV/f.u.
calculated volume: 19.4 A^3/atom
raw total energy: -3.565 eV per atom
Fermi-level density of states: 6.50 states/eV/cell
E_form (uncorrected): 0.33 eV per atom

The structure in POSCAR format:
```
Ag2Pt2Br
1.0
-0.784 -0.412 8.310
5.078 -6.636 0.150
2.196 1.687 0.291
Ag Pt Br
4 4 2
Cartesian
2.815 -4.855 6.910
1.480 -2.193 1.550
0.384 -1.480 5.684
3.910 -5.568 2.776
4.122 -3.272 1.177
2.367 -2.090 7.574
1.369 -0.066 3.378
5.121 -5.295 5.373
2.147 -3.524 4.230
0.000 0.000 0.000
```


The following is a PBE-GGA calculation of a geometry-optimized AgPtBr2 structure, from the Alexandria database.

Output
energy above the most stable polymorph in this dataset: 0.340 eV/f.u.
calculated volume: 25.2 A^3/atom
raw total energy: -2.920 eV per atom
Fermi-level density of states: 3.05 states/eV/cell
E_form (uncorrected): 0.14 eV per atom

The structure in POSCAR format:
```
AgPtBr2
1.0
-7.497 -1.797 1.900
-6.392 -4.702 0.264
0.299 -1.786 3.372
Ag Br Pt
1 2 1
Cartesian
-2.576 -1.797 1.452
-10.389 -6.277 4.132
0.196 -1.822 3.367
-7.316 -4.317 2.726
```


The following is a PBE-GGA calculation of a geometry-optimized AgPtBr3 structure, from the Alexandria database.

Output
energy above the most stable polymorph in this dataset: 3.370 eV/f.u.
calculated volume: 28.4 A^3/atom
raw total energy: -2.026 eV per atom
Fermi-level density of states: 13.87 states/eV/cell
E_form (uncorrected): 0.76 eV per atom

The structure in POSCAR format:
```
AgPtBr3
1.0
-0.436 3.688 3.668
-1.364 -3.634 3.490
5.020 -0.667 1.267
Br Pt Ag
3 1 1
Cartesian
-0.218 1.844 1.834
2.510 -0.333 0.634
-0.682 -1.817 1.745
1.610 -0.306 4.213
0.000 0.000 0.000
```


The following is a PBE-GGA calculation of a geometry-optimized AgPtBr4 structure, from the Alexandria database.

Output
calculated volume: 30.4 A^3/atom
raw total energy: -2.807 eV per atom
Fermi-level density of states: 1.40 states/eV/cell
E_form (uncorrected): -0.21 eV per atom

The structure in POSCAR format:
```
AgPtBr4
1.0
-1.382 1.893 -3.198
3.854 -3.534 -3.757
-5.243 -4.832 -0.594
Br Ag Pt
4 1 1
Cartesian
-0.572 -0.532 -2.526
-2.200 -5.941 -5.023
1.526 -4.125 -3.101
-2.916 -4.240 -1.250
-3.313 -1.469 -1.896
0.000 0.000 0.000
```


The following is a PBE-GGA calculation of a geometry-optimized AgPtBr2 structure, from the Alexandria database.

Output
energy above the most stable polymorph in this dataset: 0.000 eV/f.u.
calculated volume: 25.6 A^3/atom
raw total energy: -3.005 eV per atom
Fermi-level density of states: 0.88 states/eV/cell
E_form (uncorrected): 0.05 eV per atom

The structure in POSCAR format:
```
AgPtBr2
1.0
-5.100 -1.604 -3.314
-3.181 -4.811 -2.511
-3.292 -1.190 3.110
Ag Br Pt
1 2 1
Cartesian
-2.893 -1.901 -0.679
-3.820 -1.711 2.295
-5.259 -3.282 -0.542
-8.680 -5.704 -2.036
```


The following is a PBE-GGA calculation of a geometry-optimized AgPtBr2 structure, from the Alexandria database.

Output
energy above the most stable polymorph in this dataset: 0.130 eV/f.u.
calculated volume: 24.5 A^3/atom
raw total energy: -2.972 eV per atom
Fermi-level density of states: 1.13 states/eV/cell
E_form (uncorrected): 0.09 eV per atom

The structure in POSCAR format:
```
AgPtBr2
1.0
-3.508 1.739 2.440
0.495 -3.496 3.202
3.030 1.269 3.453
Br Pt Ag
2 1 1
Cartesian
3.354 -2.119 6.332
-0.492 0.072 3.602
1.662 -1.051 3.139
0.780 -0.732 6.005
```


The following is a PBE-GGA calculation of a geometry-optimized AgPtBr structure, from the Alexandria database.

Output
energy above the most stable polymorph in this dataset: 0.200 eV/f.u.
calculated volume: 20.1 A^3/atom
raw total energy: -3.164 eV per atom
Fermi-level density of states: 2.79 states/eV/cell
E_form (uncorrected): 0.36 eV per atom

The structure in POSCAR format:
```
AgPtBr
1.0
3.421 0.000 0.000
-1.710 2.962 0.000
0.000 0.000 5.947
Ag Br Pt
1 1 1
Cartesian
0.000 0.000 5.856
1.710 0.987 2.080
0.000 1.975 3.957
```


The following is a PBE-GGA calculation of a geometry-optimized AgPtBr4 structure, from the Alexandria database.

Output
calculated volume: 26.4 A^3/atom
raw total energy: -1.516 eV per atom
Fermi-level density of states: 9.69 states/eV/cell
E_form (uncorrected): 1.08 eV per atom

The structure in POSCAR format:
```
AgPtBr4
1.0
0.000 4.296 4.296
4.296 0.000 4.296
4.296 4.296 0.000
Pt Br Ag
1 4 1
Cartesian
6.444 6.444 6.444
3.225 3.225 3.225
5.367 5.367 3.225
3.225 5.367 5.367
5.367 3.225 5.367
0.000 0.000 0.000
```


The following is a PBE-GGA calculation of a geometry-optimized AgPtBr6 structure, from the Alexandria database.

Output
energy above the most stable polymorph in this dataset: 0.307 eV/f.u.
calculated volume: 28.9 A^3/atom
raw total energy: -2.532 eV per atom
Fermi-level density of states: 8.62 states/eV/cell
E_form (uncorrected): -0.17 eV per atom

The structure in POSCAR format:
```
AgPtBr6
1.0
-5.396 2.776 -2.094
-5.648 -3.840 -0.799
-5.871 0.128 4.679
Br Ag Pt
6 1 1
Cartesian
-9.039 1.986 1.841
-9.756 0.394 -1.290
-7.159 -1.329 3.077
-11.234 -1.896 2.192
-5.681 0.961 -0.406
-7.876 -2.921 -0.055
-8.458 -0.468 0.893
0.000 0.000 0.000
```


The following is a PBE-GGA calculation of a geometry-optimized AgPtBr3 structure, from the Alexandria database.

Output
energy above the most stable polymorph in this dataset: 0.000 eV/f.u.
calculated volume: 27.6 A^3/atom
raw total energy: -2.700 eV per atom
Fermi-level density of states: 1.88 states/eV/cell
E_form (uncorrected): 0.08 eV per atom

The structure in POSCAR format:
```
AgPtBr3
1.0
5.168 0.000 0.000
0.000 5.168 0.000
0.000 0.000 5.168
Br Ag Pt
3 1 1
Cartesian
0.000 0.000 2.584
0.000 2.584 0.000
2.584 0.000 0.000
2.584 2.584 2.584
0.000 0.000 0.000
```


The following is a PBE-GGA calculation of a geometry-optimized AgPtBr structure, from the Alexandria database.

Output
energy above the most stable polymorph in this dataset: 0.425 eV/f.u.
calculated volume: 20.1 A^3/atom
raw total energy: -3.089 eV per atom
Fermi-level density of states: 0.80 states/eV/cell
E_form (uncorrected): 0.43 eV per atom

The structure in POSCAR format:
```
AgPtBr
1.0
5.131 0.003 -0.013
2.468 4.498 0.013
-3.795 -2.257 2.612
Br Ag Pt
1 1 1
Cartesian
2.631 1.558 0.000
0.141 0.084 0.000
4.826 2.859 0.000
```


The following is a PBE-GGA calculation of a geometry-optimized AgPtBr structure, from the Alexandria database.

Output
energy above the most stable polymorph in this dataset: 0.000 eV/f.u.
calculated volume: 23.0 A^3/atom
raw total energy: -3.231 eV per atom
Fermi-level density of states: 3.51 states/eV/cell
E_form (uncorrected): 0.29 eV per atom

The structure in POSCAR format:
```
AgPtBr
1.0
3.278 0.000 0.000
-1.639 4.137 0.000
0.000 0.000 10.156
Br Pt Ag
2 2 2
Cartesian
0.000 1.399 8.381
0.000 1.399 1.775
1.639 1.842 3.738
1.639 1.842 6.418
0.000 3.703 0.000
0.000 3.605 5.078
```


Number 5 is which compound? AgPtBr2


Copy entry 8 word for word.
The following is a PBE-GGA calculation of a geometry-optimized AgPtBr4 structure, from the Alexandria database.

Output
calculated volume: 26.4 A^3/atom
raw total energy: -1.516 eV per atom
Fermi-level density of states: 9.69 states/eV/cell
E_form (uncorrected): 1.08 eV per atom

The structure in POSCAR format:
```
AgPtBr4
1.0
0.000 4.296 4.296
4.296 0.000 4.296
4.296 4.296 0.000
Pt Br Ag
1 4 1
Cartesian
6.444 6.444 6.444
3.225 3.225 3.225
5.367 5.367 3.225
3.225 5.367 5.367
5.367 3.225 5.367
0.000 0.000 0.000
```


Among the records above, which one has the highest Fermi-level density of states? number 3


Among the records above, which one has the highest raw total energy? number 8